No. 1
A geometry-optimized Li3Ce2NpS6 structure. Source: Alexandria, functional PBE-GGA.

a = 6.9371 Å, b = 12.0191 Å, c = 6.5930 Å
α = 90.00°, β = 110.49°, γ = 90.00°
Space group C2/m (No. 12)
Symmetry-distinct sites (fractional):
Li1 0.0000 0.0000 0.0000 x2
Li2 0.0000 0.3377 0.0000 x4
Ce1 0.0000 0.1671 0.5000 x4
Np1 0.0000 0.5000 0.5000 x2
S1 0.2433 0.5000 0.2459 x4
S2 0.2490 0.3364 0.7561 x8

## Properties
Calculated volume   514.94 Å³/cell
Formation energy (no corrections)   -19.2 eV per formula unit
Electronic total energy   -149.1 eV for the cell shown

=====

No. 2
A geometry-optimized LiCe3Np3S8 structure. Source: Alexandria, functional PBE-GGA.

a = 7.8779 Å, b = 7.8779 Å, c = 19.2649 Å
α = 90.00°, β = 90.00°, γ = 120.00°
Space group R-3m (No. 166, hexagonal axes)
Symmetry-distinct sites (fractional):
Li1 0.0000 0.0000 0.0000 x3
Ce1 0.0000 0.5000 0.5000 x9
Np1 0.0000 0.5000 0.0000 x9
S1 0.0000 0.0000 0.2541 x6
S2 0.0028 0.5014 0.7459 x18

## Properties
Calculated volume   1035.42 Å³/cell
Formation energy (no corrections)   -24.7 eV per formula unit
Electronic total energy   -348.9 eV for the cell shown

=====

No. 3
A geometry-optimized Li3Ce3NpS8 structure. Source: Alexandria, functional PBE-GGA.

a = 8.1172 Å, b = 8.1172 Å, c = 18.3108 Å
α = 90.00°, β = 90.00°, γ = 120.00°
Space group R-3m (No. 166, hexagonal axes)
Symmetry-distinct sites (fractional):
Li1 0.0000 0.5000 0.0000 x9
Ce1 0.0000 0.5000 0.5000 x9
Np1 0.0000 0.0000 0.5000 x3
S1 0.0000 0.0000 0.2520 x6
S2 0.0104 0.5052 0.2481 x18

## Properties
Calculated volume   1044.79 Å³/cell
Formation energy (no corrections)   -24.7 eV per formula unit
Electronic total energy   -282.6 eV for the cell shown

=====

No. 4
A geometry-optimized LiCeNpS3 structure. Source: Alexandria, functional PBE-GGA.

a = 8.1010 Å, b = 3.8849 Å, c = 8.4658 Å
α = 90.00°, β = 102.33°, γ = 90.00°
Space group P2_1/m (No. 11)
Symmetry-distinct sites (fractional):
Li1 0.0883 0.2500 0.0817 x2
Ce1 0.1795 0.2500 0.7152 x2
Np1 0.3362 0.7500 0.3346 x2
S1 0.0987 0.2500 0.3637 x2
S2 0.2139 0.7500 0.9945 x2
S3 0.4246 0.7500 0.6682 x2

## Properties
Calculated volume   260.29 Å³/cell
Formation energy (no corrections)   -9.3 eV per formula unit
Electronic total energy   -84.9 eV for the cell shown

=====

No. 5
A geometry-optimized LiCe2NpS5 structure. Source: Alexandria, functional PBE-GGA.

a = 3.9895 Å, b = 16.3973 Å, c = 11.7797 Å
α = 90.00°, β = 90.00°, γ = 90.00°
Space group Cmc2_1 (No. 36)
Symmetry-distinct sites (fractional):
Li1 0.0000 0.0179 0.0000 x4
Ce1 0.0000 0.3737 0.8256 x4
Ce2 0.0000 0.3904 0.2101 x4
Np1 0.0000 0.3006 0.5293 x4
S1 0.0000 0.0020 0.3023 x4
S2 0.0000 0.1355 0.5241 x4
S3 0.0000 0.1893 0.8723 x4
S4 0.0000 0.2104 0.1863 x4
S5 0.0000 0.4535 0.5927 x4

## Properties
Calculated volume   770.60 Å³/cell
Formation energy (no corrections)   -15.2 eV per formula unit
Electronic total energy   -250.4 eV for the cell shown

=====

No. 6
A geometry-optimized LiCeNp2S6 structure. Source: Alexandria, functional PBE-GGA.

a = 6.1375 Å, b = 6.1375 Å, c = 6.7279 Å
α = 90.00°, β = 90.00°, γ = 90.00°
Space group P4mm (No. 99)
Symmetry-distinct sites (fractional):
Li1 0.0000 0.0000 0.0000 x1
Ce1 0.5000 0.5000 0.0287 x1
Np1 0.0000 0.5000 0.4583 x2
S1 0.0000 0.0000 0.6432 x1
S2 0.2388 0.2388 0.2193 x4
S3 0.5000 0.5000 0.6236 x1

## Properties
Calculated volume   253.43 Å³/cell
Formation energy (no corrections)   -11.2 eV per formula unit
Electronic total energy   -69.7 eV for the cell shown

=====

Copy entry 3 word for word.
A geometry-optimized Li3Ce3NpS8 structure. Source: Alexandria, functional PBE-GGA.

a = 8.1172 Å, b = 8.1172 Å, c = 18.3108 Å
α = 90.00°, β = 90.00°, γ = 120.00°
Space group R-3m (No. 166, hexagonal axes)
Symmetry-distinct sites (fractional):
Li1 0.0000 0.5000 0.0000 x9
Ce1 0.0000 0.5000 0.5000 x9
Np1 0.0000 0.0000 0.5000 x3
S1 0.0000 0.0000 0.2520 x6
S2 0.0104 0.5052 0.2481 x18

## Properties
Calculated volume   1044.79 Å³/cell
Formation energy (no corrections)   -24.7 eV per formula unit
Electronic total energy   -282.6 eV for the cell shown

=====

The lowest electronic total energy belongs to which entry? LiCe3Np3S8

=====

calculated volume of number 3 (Li3Ce3NpS8)? 1044.79 Å³/cell